# 1
First-principles (PBE) data for a relaxed structure of CeSmTh2P4, as listed in Alexandria.

Summary:
ΔH_f (0 K) ... -12.47 eV/f.u.
V ... 198.2 Å³/cell

abc: 7.1317 4.1266 7.1470
angles: 90.00 109.52 90.00
Space group P2/m (No. 10)
Asymmetric unit:
Ce 0.0000 0.0000 0.0000 (multiplicity 1)
Sm 0.0000 0.5000 0.5000 (multiplicity 1)
Th 0.5000 0.0000 0.5000 (multiplicity 1)
Th 0.5000 0.5000 0.0000 (multiplicity 1)
P 0.2478 0.5000 0.2482 (multiplicity 2)
P 0.2490 0.0000 0.7511 (multiplicity 2)

# 2
First-principles (PBE) data for a relaxed structure of HoCuSn2, as listed in Alexandria.

Summary:
ΔH_f (0 K) ... -1.80 eV/f.u.
V ... 179.3 Å³/cell

abc: 4.3954 4.3954 9.2802
angles: 90.00 90.00 90.00
Space group P4/nmm (No. 129, origin choice 2)
Asymmetric unit:
Ho 0.2500 0.2500 0.2322 (multiplicity 2)
Cu 0.2500 0.7500 0.0000 (multiplicity 2)
Sn 0.2500 0.2500 0.8302 (multiplicity 2)
Sn 0.2500 0.7500 0.5000 (multiplicity 2)

# 3
First-principles (PBE) data for a relaxed structure of ZnSnBr2, as listed in Alexandria.

Summary:
Raw formation energy ... -1.335 eV/f.u.
V ... 597.8 Å³/cell

abc: 10.6674 10.6674 5.2534
angles: 90.00 90.00 90.00
Space group I-42d (No. 122)
Asymmetric unit:
Zn 0.0000 0.0000 0.0000 (multiplicity 4)
Sn 0.0000 0.0000 0.5000 (multiplicity 4)
Br 0.0949 0.7500 0.6250 (multiplicity 8)

# 4
First-principles (PBE) data for a relaxed structure of Nd2Dy12Zr, as listed in Alexandria.

Summary:
ΔH_f (0 K) ... 2.18 eV/f.u.
V ... 1907.7 Å³/cell

abc: 7.0557 11.3187 24.0608
angles: 90.00 96.88 90.00
Space group C2/m (No. 12)
Asymmetric unit:
Nd 0.2151 0.0000 0.2346 (multiplicity 4)
Nd 0.2220 0.5000 0.2327 (multiplicity 4)
Dy 0.0100 0.2505 0.3060 (multiplicity 8)
Dy 0.0102 0.5000 0.3816 (multiplicity 4)
Dy 0.0133 0.0000 0.3803 (multiplicity 4)
Dy 0.0568 0.2532 0.8269 (multiplicity 8)
Dy 0.0887 0.0000 0.9202 (multiplicity 4)
Dy 0.1040 0.5000 0.9303 (multiplicity 4)
Dy 0.1476 0.2560 0.0561 (multiplicity 8)
Dy 0.1745 0.2469 0.5648 (multiplicity 8)
Zr 0.2323 0.5000 0.5027 (multiplicity 4)